Below is a geometry-optimized PuAl3Zn structure, with properties calculated at the GGA-PBE level.

Calculated values
The value obtained for the final energy is -55.67 eV/cell. Its total magnetization is 11.2 Bohr magnetons per cell.

POSCAR file:
```
PuAl3Zn
1.0
-2.6369 -1.9728 4.7193
-3.3934 -3.3237 -3.2855
3.7011 -4.2734 0.5005
Al Pu Zn
6 2 2
Direct
0.8321 0.4974 0.8426
0.8321 0.0026 0.8426
0.1394 0.7500 0.5576
0.8606 0.2500 0.4424
0.1679 0.9974 0.1574
0.1679 0.5026 0.1574
0.3451 0.2500 0.6603
0.6549 0.7500 0.3397
0.5484 0.2500 0.1452
0.4516 0.7500 0.8548
```